# 1
Li2YO: optimized geometry, GGA-PBE.

Results
Formation energy (no corrections) = -0.71 eV/atom
Symmetry = I4_1/amd

Geometry as CIF:
```
data_Li2YO
_symmetry_space_group_name_H-M 'P 1'
_symmetry_Int_Tables_number 1
_cell_length_a 5.990
_cell_length_b 5.990
_cell_length_c 5.995
_cell_angle_alpha 60.03
_cell_angle_beta 60.03
_cell_angle_gamma 90.00
loop_
_symmetry_equiv_pos_as_xyz
'x,y,z'
loop_
_atom_site_label
_atom_site_type_symbol
_atom_site_fract_x
_atom_site_fract_y
_atom_site_fract_z
_atom_site_occupancy
Li1 Li 0.374 0.125 0.250 1
Li2 Li 0.375 0.626 0.750 1
Li3 Li 0.376 0.625 0.250 1
Li4 Li 0.875 0.624 0.750 1
Y1 Y 0.000 0.000 0.000 1
Y2 Y 0.750 0.250 0.500 1
O1 O 0.250 0.750 0.500 1
O2 O 0.500 0.500 0.000 1
```


# 2
LiYO: optimized geometry, GGA-PBE.

Results
Excess energy over the best structure of this formula in the dataset = 0.000 eV per formula unit
Formation energy (no corrections) = -1.89 eV/atom
Symmetry = P-6m2

Geometry as CIF:
```
data_LiYO
_symmetry_space_group_name_H-M 'P 1'
_symmetry_Int_Tables_number 1
_cell_length_a 3.858
_cell_length_b 3.858
_cell_length_c 4.223
_cell_angle_alpha 90.00
_cell_angle_beta 90.00
_cell_angle_gamma 120.00
loop_
_symmetry_equiv_pos_as_xyz
'x,y,z'
loop_
_atom_site_label
_atom_site_type_symbol
_atom_site_fract_x
_atom_site_fract_y
_atom_site_fract_z
_atom_site_occupancy
O1 O 0.333 0.667 0.000 1
Li1 Li 0.333 0.667 0.500 1
Y1 Y 0.000 0.000 0.000 1
```


# 3
LiYO: optimized geometry, GGA-PBE.

Results
Excess energy over the best structure of this formula in the dataset = 0.217 eV per formula unit
Formation energy (no corrections) = -1.82 eV/atom
Symmetry = Cm

Geometry as CIF:
```
data_LiYO
_symmetry_space_group_name_H-M 'P 1'
_symmetry_Int_Tables_number 1
_cell_length_a 5.606
_cell_length_b 3.285
_cell_length_c 11.231
_cell_angle_alpha 90.00
_cell_angle_beta 106.68
_cell_angle_gamma 90.00
loop_
_symmetry_equiv_pos_as_xyz
'x,y,z'
loop_
_atom_site_label
_atom_site_type_symbol
_atom_site_fract_x
_atom_site_fract_y
_atom_site_fract_z
_atom_site_occupancy
Y1 Y 0.811 0.000 0.341 1
Y2 Y 0.811 0.500 0.841 1
Y3 Y 0.471 0.500 0.045 1
Y4 Y 0.471 0.000 0.545 1
O1 O 0.659 0.500 0.452 1
O2 O 0.837 0.500 0.201 1
O3 O 0.659 0.000 0.952 1
O4 O 0.837 0.000 0.701 1
Li1 Li 0.258 0.000 0.789 1
Li2 Li 0.964 0.500 0.607 1
Li3 Li 0.964 0.000 0.107 1
Li4 Li 0.258 0.500 0.289 1
```


# 4
LiY3O: optimized geometry, GGA-PBE.

Results
Excess energy over the best structure of this formula in the dataset = 0.000 eV per formula unit
Formation energy (no corrections) = -1.04 eV/atom
Symmetry = Pm-3m

Geometry as CIF:
```
data_LiY3O
_symmetry_space_group_name_H-M 'P 1'
_symmetry_Int_Tables_number 1
_cell_length_a 4.829
_cell_length_b 4.829
_cell_length_c 4.829
_cell_angle_alpha 90.00
_cell_angle_beta 90.00
_cell_angle_gamma 90.00
loop_
_symmetry_equiv_pos_as_xyz
'x,y,z'
loop_
_atom_site_label
_atom_site_type_symbol
_atom_site_fract_x
_atom_site_fract_y
_atom_site_fract_z
_atom_site_occupancy
Y1 Y 0.500 0.000 0.000 1
Y2 Y 0.000 0.000 0.500 1
Y3 Y 0.000 0.500 0.000 1
O1 O 0.000 0.000 0.000 1
Li1 Li 0.500 0.500 0.500 1
```


# 5
LiYO2: optimized geometry, GGA-PBE.

Results
Formation energy (no corrections) = -2.81 eV/atom
Symmetry = R-3m

Geometry as CIF:
```
data_LiYO2
_symmetry_space_group_name_H-M 'P 1'
_symmetry_Int_Tables_number 1
_cell_length_a 6.109
_cell_length_b 6.109
_cell_length_c 6.109
_cell_angle_alpha 32.94
_cell_angle_beta 32.94
_cell_angle_gamma 32.94
loop_
_symmetry_equiv_pos_as_xyz
'x,y,z'
loop_
_atom_site_label
_atom_site_type_symbol
_atom_site_fract_x
_atom_site_fract_y
_atom_site_fract_z
_atom_site_occupancy
Li1 Li 0.000 0.000 0.000 1
O1 O 0.898 0.898 0.898 1
O2 O 0.102 0.102 0.102 1
Y1 Y 0.500 0.500 0.500 1
```


# 6
LiYO: optimized geometry, GGA-PBE.

Results
Excess energy over the best structure of this formula in the dataset = 0.138 eV per formula unit
Formation energy (no corrections) = -1.84 eV/atom
Symmetry = C2/m

Geometry as CIF:
```
data_LiYO
_symmetry_space_group_name_H-M 'P 1'
_symmetry_Int_Tables_number 1
_cell_length_a 3.917
_cell_length_b 7.988
_cell_length_c 8.729
_cell_angle_alpha 94.10
_cell_angle_beta 102.97
_cell_angle_gamma 90.00
loop_
_symmetry_equiv_pos_as_xyz
'x,y,z'
loop_
_atom_site_label
_atom_site_type_symbol
_atom_site_fract_x
_atom_site_fract_y
_atom_site_fract_z
_atom_site_occupancy
Li1 Li 0.020 0.337 0.039 1
Li2 Li 0.541 0.867 0.083 1
Li3 Li 0.980 0.663 0.961 1
Li4 Li 0.459 0.133 0.917 1
O1 O 0.749 0.123 0.497 1
O2 O 0.251 0.877 0.503 1
O3 O 0.246 0.373 0.493 1
O4 O 0.754 0.627 0.507 1
Y1 Y 0.190 0.621 0.379 1
Y2 Y 0.815 0.890 0.630 1
Y3 Y 0.185 0.110 0.370 1
Y4 Y 0.810 0.379 0.621 1
```


# 7
LiYO: optimized geometry, GGA-PBE.

Results
Excess energy over the best structure of this formula in the dataset = 0.361 eV per formula unit
Formation energy (no corrections) = -1.77 eV/atom
Symmetry = Pm

Geometry as CIF:
```
data_LiYO
_symmetry_space_group_name_H-M 'P 1'
_symmetry_Int_Tables_number 1
_cell_length_a 4.829
_cell_length_b 3.500
_cell_length_c 5.990
_cell_angle_alpha 90.00
_cell_angle_beta 109.02
_cell_angle_gamma 90.00
loop_
_symmetry_equiv_pos_as_xyz
'x,y,z'
loop_
_atom_site_label
_atom_site_type_symbol
_atom_site_fract_x
_atom_site_fract_y
_atom_site_fract_z
_atom_site_occupancy
O1 O 0.561 0.000 0.394 1
O2 O 0.446 0.000 0.855 1
Y1 Y 0.899 0.000 0.748 1
Y2 Y 0.571 0.500 0.157 1
Li1 Li 0.370 0.500 0.651 1
Li2 Li 0.155 0.000 0.323 1
```


# 8
Li3YO: optimized geometry, GGA-PBE.

Results
Excess energy over the best structure of this formula in the dataset = 9.097 eV per formula unit
Formation energy (no corrections) = 1.38 eV/atom
Symmetry = Pm-3m

Geometry as CIF:
```
data_Li3YO
_symmetry_space_group_name_H-M 'P 1'
_symmetry_Int_Tables_number 1
_cell_length_a 5.726
_cell_length_b 5.726
_cell_length_c 5.726
_cell_angle_alpha 90.00
_cell_angle_beta 90.00
_cell_angle_gamma 90.00
loop_
_symmetry_equiv_pos_as_xyz
'x,y,z'
loop_
_atom_site_label
_atom_site_type_symbol
_atom_site_fract_x
_atom_site_fract_y
_atom_site_fract_z
_atom_site_occupancy
Li1 Li 0.000 0.500 0.000 1
Li2 Li 0.500 0.000 0.000 1
Li3 Li 0.000 0.000 0.500 1
O1 O 0.500 0.500 0.500 1
Y1 Y 0.000 0.000 0.000 1
```


# 9
Li3YO: optimized geometry, GGA-PBE.

Results
Excess energy over the best structure of this formula in the dataset = 0.000 eV per formula unit
Formation energy (no corrections) = -0.43 eV/atom
Symmetry = Pm-3m

Geometry as CIF:
```
data_Li3YO
_symmetry_space_group_name_H-M 'P 1'
_symmetry_Int_Tables_number 1
_cell_length_a 4.285
_cell_length_b 4.285
_cell_length_c 4.285
_cell_angle_alpha 90.00
_cell_angle_beta 90.00
_cell_angle_gamma 90.00
loop_
_symmetry_equiv_pos_as_xyz
'x,y,z'
loop_
_atom_site_label
_atom_site_type_symbol
_atom_site_fract_x
_atom_site_fract_y
_atom_site_fract_z
_atom_site_occupancy
Y1 Y 0.500 0.500 0.500 1
Li1 Li 0.500 0.000 0.000 1
Li2 Li 0.000 0.000 0.500 1
Li3 Li 0.000 0.500 0.000 1
O1 O 0.000 0.000 0.000 1
```


# 10
LiYO2: optimized geometry, GGA-PBE.

Results
Formation energy (no corrections) = -2.72 eV/atom
Symmetry = I-42d

Geometry as CIF:
```
data_LiYO2
_symmetry_space_group_name_H-M 'P 1'
_symmetry_Int_Tables_number 1
_cell_length_a 4.721
_cell_length_b 4.721
_cell_length_c 6.216
_cell_angle_alpha 67.69
_cell_angle_beta 67.69
_cell_angle_gamma 90.00
loop_
_symmetry_equiv_pos_as_xyz
'x,y,z'
loop_
_atom_site_label
_atom_site_type_symbol
_atom_site_fract_x
_atom_site_fract_y
_atom_site_fract_z
_atom_site_occupancy
O1 O 0.139 0.625 0.250 1
O2 O 0.875 0.861 0.750 1
O3 O 0.611 0.125 0.250 1
O4 O 0.375 0.389 0.750 1
Li1 Li 0.250 0.750 0.500 1
Li2 Li 0.500 0.500 0.000 1
Y1 Y 0.000 0.000 0.000 1
Y2 Y 0.750 0.250 0.500 1
```